i) Fe3BrO GGA+U optimized geometry; ρ = 5.30 g/cm3; Fermi-level density of states = 0.821 states/eV/atom; space-group type = No. 221
1.0
-3.491 0.354 2.575
-0.890 -4.214 -0.628
2.442 -1.030 3.452
O Fe Br
1 3 1
Direct
0.000 0.000 0.000
0.000 0.000 0.500
0.000 0.500 0.000
0.500 0.000 0.000
0.500 0.500 0.500

***

ii) Fe3BrO GGA+U optimized geometry; ρ = 4.67 g/cm3; Fermi-level density of states = 0.271 states/eV/atom; space-group type = No. 221
1.0
4.541 0.000 0.000
0.000 4.541 0.000
0.000 0.000 4.541
O Fe Br
1 3 1
Direct
0.500 0.500 0.500
0.000 0.000 0.500
0.000 0.500 0.000
0.500 0.000 0.000
0.000 0.000 0.000

***

i) is favored, and the nearest alternative lies 1.554 eV/atom above it.

***

i) FeBr3O GGA+U optimized geometry; ρ = 4.10 g/cm3; Fermi-level density of states = 1.009 states/eV/atom; space-group type = No. 221
1.0
-1.507 4.689 -0.939
-3.304 -1.732 -3.350
-3.457 -0.388 3.610
Br O Fe
3 1 1
Direct
0.000 0.500 0.000
0.500 0.000 0.000
0.000 0.000 0.500
0.500 0.500 0.500
0.000 0.000 0.000

***

ii) FeBr3O GGA+U optimized geometry; ρ = 4.79 g/cm3; Fermi-level density of states = 1.611 states/eV/atom; space-group type = No. 221
1.0
-2.741 -1.297 -3.671
3.836 -0.132 -2.818
0.666 -4.580 1.121
O Br Fe
1 3 1
Direct
0.000 0.000 0.000
0.000 0.500 0.000
0.500 0.000 0.000
0.000 0.000 0.500
0.500 0.500 0.500

***

i) is favored, and the nearest alternative lies 0.353 eV/atom above it.

***

i) FeSeBr2O GGA+U optimized geometry; ρ = 4.05 g/cm3; Fermi-level density of states = 0.434 states/eV/atom; space-group type = No. 123
1.0
5.916 0.000 0.000
0.000 5.916 0.000
0.000 0.000 3.635
Br Se Fe O
2 1 1 1
Direct
0.000 0.500 0.000
0.500 0.000 0.000
0.000 0.000 0.500
0.500 0.500 0.500
0.000 0.000 0.000

***

ii) FeSeBr2O GGA+U optimized geometry; ρ = 3.91 g/cm3; Fermi-level density of states = 1.563 states/eV/atom; space-group type = No. 123
1.0
5.051 0.000 0.000
0.000 5.051 0.000
0.000 0.000 5.169
Fe Se Br O
1 1 2 1
Direct
0.000 0.000 0.000
0.000 0.000 0.500
0.500 0.000 0.000
0.000 0.500 0.000
0.500 0.500 0.500

***

i) is favored, and the nearest alternative lies 0.296 eV/atom above it.